## w
Ca3Bi2H after structural relaxation, computed with GGA-PBE.

Geometry as POSCAR:
```
Ca3Bi2H
1.0
9.338 0.000 0.000
0.000 4.041 0.000
0.000 0.000 18.066
Ca Bi H
12 8 4
direct
0.032 0.250 0.107
0.119 0.250 0.582
0.188 0.750 0.272
0.312 0.250 0.772
0.381 0.750 0.082
0.468 0.750 0.607
0.532 0.250 0.393
0.619 0.250 0.918
0.688 0.750 0.228
0.812 0.250 0.728
0.881 0.750 0.418
0.968 0.750 0.893
0.074 0.750 0.719
0.247 0.250 0.954
0.253 0.750 0.454
0.426 0.250 0.219
0.574 0.750 0.781
0.747 0.250 0.546
0.753 0.750 0.046
0.926 0.250 0.281
0.145 0.750 0.136
0.355 0.250 0.636
0.645 0.750 0.364
0.855 0.250 0.864
```

Space group = Pnma (62)

***

## x
Ca3Bi2H after structural relaxation, computed with GGA-PBE.

Geometry as POSCAR:
```
Ca3Bi2H
1.0
5.552 -4.415 0.000
5.552 4.415 0.000
0.000 0.000 6.839
Ca Bi H
6 4 2
direct
0.145 0.855 0.750
0.337 0.337 0.000
0.337 0.337 0.500
0.663 0.663 0.000
0.663 0.663 0.500
0.855 0.145 0.250
0.044 0.655 0.250
0.345 0.956 0.250
0.655 0.044 0.750
0.956 0.345 0.750
0.422 0.578 0.750
0.578 0.422 0.250
```

Space group = Cmcm (63)

***

Question: which arrangement is favored energetically? Ranking from most to least stable: w, x.